1.
DFT (PBE) results for an optimized crystal structure of CuSi2Cl.

Values from the calculation:
* calculated total energy: -3.848 eV per atom
* density: 3.87 g cm⁻³
* ΔE_f (raw): 350 meV per atom
* polymorph energy (0 for the lowest one): 379.0 meV/atom
* crystal system: monoclinic

Lattice parameters (Å, degrees): 5.9643 5.9643 4.4400 111.64 111.64 27.11
Closest atoms and distances in Å follow each position.
Sites, in units of the cell vectors:
Cu 0.0000 0.0000 0.0000  6 Si 2.74-2.75, 2 Cu 2.80
Si 0.4229 0.4229 0.4232  4 Si 2.61-2.80, 4 Cu 2.75
Si 0.7185 0.7185 0.2732  2 Cl 2.41, 2 Si 2.61
Cl 0.2051 0.2051 0.7006  2 Si 2.41

2.
DFT (PBE) results for an optimized crystal structure of CuSiCl.

Values from the calculation:
* calculated total energy: -2.805 eV per atom
* density: 3.28 g cm⁻³
* ΔE_f (raw): 984 meV per atom
* polymorph energy (0 for the lowest one): 1116.6 meV/atom
* crystal system: cubic

Lattice parameters (Å, degrees): 4.4998 4.4998 4.4998 60.00 60.00 60.00
Closest atoms and distances in Å follow each position.
Sites, in units of the cell vectors:
Cu 0.0000 0.0000 0.0000  4 Cl 2.76
Si 0.5000 0.5000 0.5000  4 Cl 2.76
Cl 0.2500 0.2500 0.2500  4 Cu 2.76, 4 Si 2.76

3.
DFT (PBE) results for an optimized crystal structure of CuSi2Cl.

Values from the calculation:
* calculated total energy: -3.672 eV per atom
* density: 4.01 g cm⁻³
* ΔE_f (raw): 525 meV per atom
* polymorph energy (0 for the lowest one): 554.7 meV/atom
* crystal system: tetragonal

Lattice parameters (Å, degrees): 4.8315 4.8315 2.7509 90.00 90.00 90.00
Closest atoms and distances in Å follow each position.
Sites, in units of the cell vectors:
Cu 0.0000 0.0000 0.0000  2 Cu 2.75, 8 Si 2.78
Si 0.0000 0.5000 0.5000  2 Si 2.75, 4 Cl 2.78, 4 Cu 2.78
Si 0.5000 0.0000 0.5000  2 Si 2.75, 4 Cl 2.78, 4 Cu 2.78
Cl 0.5000 0.5000 0.0000  2 Cl 2.75, 8 Si 2.78

4.
DFT (PBE) results for an optimized crystal structure of Cu3SiCl.

Values from the calculation:
* calculated total energy: -3.405 eV per atom
* density: 4.54 g cm⁻³
* ΔE_f (raw): 506 meV per atom
* polymorph energy (0 for the lowest one): 0.0 meV/atom
* crystal system: cubic

Lattice parameters (Å, degrees): 4.5312 4.5312 4.5312 90.00 90.00 90.00
Closest atoms and distances in Å follow each position.
Sites, in units of the cell vectors:
Cu 0.0000 0.0000 0.5000  2 Si 2.27
Cu 0.0000 0.5000 0.0000  2 Si 2.27
Cu 0.5000 0.0000 0.0000  2 Si 2.27
Si 0.0000 0.0000 0.0000  6 Cu 2.27
Cl 0.5000 0.5000 0.5000  12 Cu 3.20

5.
DFT (PBE) results for an optimized crystal structure of CuSi3Cl.

Values from the calculation:
* calculated total energy: -3.721 eV per atom
* density: 3.08 g cm⁻³
* ΔE_f (raw): 721 meV per atom
* polymorph energy (0 for the lowest one): 0.0 meV/atom
* crystal system: cubic

Lattice parameters (Å, degrees): 4.6219 4.6219 4.6219 90.00 90.00 90.00
Closest atoms and distances in Å follow each position.
Sites, in units of the cell vectors:
Cu 0.0000 0.0000 0.0000  6 Si 2.31
Si 0.0000 0.0000 0.5000  2 Cu 2.31
Si 0.0000 0.5000 0.0000  2 Cu 2.31
Si 0.5000 0.0000 0.0000  2 Cu 2.31
Cl 0.5000 0.5000 0.5000  12 Si 3.27

6.
DFT (PBE) results for an optimized crystal structure of Cu2SiCl.

Values from the calculation:
* calculated total energy: -3.721 eV per atom
* density: 4.62 g cm⁻³
* ΔE_f (raw): 145 meV per atom
* polymorph energy (0 for the lowest one): 141.9 meV/atom
* crystal system: tetragonal

Lattice parameters (Å, degrees): 3.1124 3.1124 7.0775 90.00 90.00 90.00
Closest atoms and distances in Å follow each position.
Sites, in units of the cell vectors:
Cu 0.0000 0.0000 0.0000  1 Si 2.54, 4 Cl 2.58, 4 Cu 2.60
Cu 0.5000 0.5000 0.1955  4 Si 2.49, 4 Cu 2.60, 1 Cl 2.73
Si 0.0000 0.0000 0.3596  5 Cu 2.49-2.54
Cl 0.5000 0.5000 0.8102  5 Cu 2.58-2.73

7.
DFT (PBE) results for an optimized crystal structure of CuSi2Cl.

Values from the calculation:
* calculated total energy: -4.004 eV per atom
* density: 3.41 g cm⁻³
* ΔE_f (raw): 193 meV per atom
* polymorph energy (0 for the lowest one): 222.5 meV/atom
* crystal system: trigonal

Lattice parameters (Å, degrees): 6.0603 6.0603 6.0603 37.94 37.94 37.94
Closest atoms and distances in Å follow each position.
Sites, in units of the cell vectors:
Cu 0.0000 0.0000 0.0000  6 Si 2.38
Si 0.2918 0.2918 0.2918  3 Cu 2.38
Si 0.7082 0.7082 0.7082  3 Cu 2.38
Cl 0.5000 0.5000 0.5000  6 Si 3.10

8.
DFT (PBE) results for an optimized crystal structure of Cu2SiCl.

Values from the calculation:
* calculated total energy: -3.461 eV per atom
* density: 5.25 g cm⁻³
* ΔE_f (raw): 404 meV per atom
* polymorph energy (0 for the lowest one): 401.6 meV/atom
* crystal system: tetragonal

Lattice parameters (Å, degrees): 4.6333 4.6333 2.8089 90.00 90.00 90.00
Closest atoms and distances in Å follow each position.
Sites, in units of the cell vectors:
Cu 0.0000 0.5000 0.0000  4 Cl 2.71, 4 Si 2.71, 2 Cu 2.81
Cu 0.5000 0.0000 0.0000  4 Cl 2.71, 4 Si 2.71, 2 Cu 2.81
Si 0.0000 0.0000 0.5000  8 Cu 2.71, 2 Si 2.81
Cl 0.5000 0.5000 0.5000  8 Cu 2.71, 2 Cl 2.81

9.
DFT (PBE) results for an optimized crystal structure of Cu2SiCl.

Values from the calculation:
* calculated total energy: -3.811 eV per atom
* density: 5.03 g cm⁻³
* ΔE_f (raw): 54 meV per atom
* polymorph energy (0 for the lowest one): 51.5 meV/atom
* crystal system: orthorhombic

Lattice parameters (Å, degrees): 2.9547 3.1900 6.6770 90.00 90.00 90.00
Closest atoms and distances in Å follow each position.
Sites, in units of the cell vectors:
Cu 0.0000 0.0000 0.2017  2 Cl 2.48, 4 Si 2.56, 1 Cu 2.69
Cu 0.0000 0.0000 0.7983  2 Cl 2.48, 4 Si 2.56, 1 Cu 2.69
Si 0.5000 0.5000 0.0000  8 Cu 2.56
Cl 0.5000 0.0000 0.5000  4 Cu 2.48

10.
DFT (PBE) results for an optimized crystal structure of Cu2SiCl.

Values from the calculation:
* calculated total energy: -3.782 eV per atom
* density: 4.60 g cm⁻³
* ΔE_f (raw): 83 meV per atom
* polymorph energy (0 for the lowest one): 80.8 meV/atom
* crystal system: monoclinic

Lattice parameters (Å, degrees): 4.1467 4.1467 6.9772 118.10 118.10 41.62
Closest atoms and distances in Å follow each position.
Sites, in units of the cell vectors:
Cu 0.2128 0.2128 0.3240  3 Si 2.43-2.50, 2 Cl 2.50, 2 Cu 2.67
Cu 0.7872 0.7872 0.6760  3 Si 2.43-2.50, 2 Cl 2.50, 2 Cu 2.67
Si 0.0000 0.0000 0.5000  6 Cu 2.43-2.50
Cl 0.5000 0.5000 0.0000  4 Cu 2.50

11.
DFT (PBE) results for an optimized crystal structure of Cu2SiCl.

Values from the calculation:
* calculated total energy: -3.525 eV per atom
* density: 3.65 g cm⁻³
* ΔE_f (raw): 340 meV per atom
* polymorph energy (0 for the lowest one): 337.4 meV/atom
* crystal system: tetragonal

Lattice parameters (Å, degrees): 8.0999 8.0999 8.0999 156.15 156.15 33.99
Closest atoms and distances in Å follow each position.
Sites, in units of the cell vectors:
Cu 0.0000 0.0000 0.0000  4 Cl 2.37
Cu 0.7500 0.2500 0.5000  4 Si 2.37
Si 0.2500 0.7500 0.5000  4 Cu 2.37
Cl 0.5000 0.5000 0.0000  4 Cu 2.37

12.
DFT (PBE) results for an optimized crystal structure of Cu2SiCl.

Values from the calculation:
* calculated total energy: -3.204 eV per atom
* density: 5.01 g cm⁻³
* ΔE_f (raw): 662 meV per atom
* polymorph energy (0 for the lowest one): 658.9 meV/atom
* crystal system: cubic

Lattice parameters (Å, degrees): 4.4710 4.4710 4.4710 60.00 60.00 60.00
Closest atoms and distances in Å follow each position.
Sites, in units of the cell vectors:
Cu 0.2500 0.2500 0.2500  4 Cl 2.74, 4 Si 2.74
Cu 0.7500 0.7500 0.7500  4 Cl 2.74, 4 Si 2.74
Si 0.0000 0.0000 0.0000  8 Cu 2.74
Cl 0.5000 0.5000 0.5000  8 Cu 2.74